<a>
## La2ReC2 (GGA-PBE)

Data for a geometry-optimized La2ReC2 structure.

Its crystal system is orthorhombic.

```
data_La2ReC2
_cell_length_a 6.747
_cell_length_b 5.478
_cell_length_c 10.476
_cell_angle_alpha 90.00
_cell_angle_beta 90.00
_cell_angle_gamma 90.00
_symmetry_space_group_name_H-M 'P n m a'
_symmetry_Int_Tables_number 62
loop_
_symmetry_equiv_pos_as_xyz
'x,y,z'
'-x,-y,-z'
'-x+1/2,-y,z+1/2'
'x+1/2,y,-z+1/2'
'x+1/2,-y+1/2,-z+1/2'
'-x+1/2,y+1/2,z+1/2'
'-x,y+1/2,-z'
'x,-y+1/2,z'
loop_
_atom_site_label
_atom_site_type_symbol
_atom_site_fract_x
_atom_site_fract_y
_atom_site_fract_z
La1 La 0.025 0.250 0.215
La2 La 0.195 0.250 0.549
Re1 Re 0.232 0.250 0.854
C1 C 0.029 0.750 0.244
C2 C 0.194 0.750 0.531
```


<b>
## La2ReC2 (GGA-PBE)

Data for a geometry-optimized La2ReC2 structure.

Its crystal system is monoclinic.

```
data_La2ReC2
_cell_length_a 11.719
_cell_length_b 5.528
_cell_length_c 6.936
_cell_angle_alpha 90.00
_cell_angle_beta 120.60
_cell_angle_gamma 90.00
_symmetry_space_group_name_H-M 'C 1 2/m 1'
_symmetry_Int_Tables_number 12
loop_
_symmetry_equiv_pos_as_xyz
'x,y,z'
'-x,-y,-z'
'-x,y,-z'
'x,-y,z'
'x+1/2,y+1/2,z'
'-x+1/2,-y+1/2,-z'
'-x+1/2,y+1/2,-z'
'x+1/2,-y+1/2,z'
loop_
_atom_site_label
_atom_site_type_symbol
_atom_site_fract_x
_atom_site_fract_y
_atom_site_fract_z
La1 La 0.037 0.000 0.290
La2 La 0.183 0.500 0.137
Re1 Re 0.136 0.500 0.632
C1 C 0.005 0.500 0.287
C2 C 0.184 0.000 0.118
```


Most stable structure: <a>


<a>
## LaRhC3 (GGA-PBE)

Data for a geometry-optimized LaRhC3 structure.

Its crystal system is cubic.

```
data_LaRhC3
_cell_length_a 4.352
_cell_length_b 4.352
_cell_length_c 4.352
_cell_angle_alpha 90.00
_cell_angle_beta 90.00
_cell_angle_gamma 90.00
_symmetry_space_group_name_H-M 'P m -3 m'
_symmetry_Int_Tables_number 221
_symmetry_space_group_name_Hall '-P 4 2 3'
loop_
_atom_site_label
_atom_site_type_symbol
_atom_site_fract_x
_atom_site_fract_y
_atom_site_fract_z
La1 La 0.000 0.000 0.000
Rh1 Rh 0.500 0.500 0.500
C1 C 0.000 0.000 0.500
```


<b>
## LaRhC3 (GGA-PBE)

Data for a geometry-optimized LaRhC3 structure.

Its crystal system is cubic.

```
data_LaRhC3
_cell_length_a 4.067
_cell_length_b 4.067
_cell_length_c 4.067
_cell_angle_alpha 90.00
_cell_angle_beta 90.00
_cell_angle_gamma 90.00
_symmetry_space_group_name_H-M 'P m -3 m'
_symmetry_Int_Tables_number 221
_symmetry_space_group_name_Hall '-P 4 2 3'
loop_
_atom_site_label
_atom_site_type_symbol
_atom_site_fract_x
_atom_site_fract_y
_atom_site_fract_z
La1 La 0.000 0.000 0.000
Rh1 Rh 0.500 0.500 0.500
C1 C 0.000 0.500 0.500
```


Most stable structure: <b>